## As4PSe (PBE)

Data for a relaxed structure of As4PSe.

abc: 7.8247 7.8247 7.8247
angles: 90.00 90.00 90.00
Last column: nearest neighbours and their distance in Å.
Space group F-43m (No. 216)
One atom of each set of equivalent atoms:
As  0.1219  0.1219  0.3781 [16 per cell]  6 As 2.70-2.84
P  0.0000  0.0000  0.0000 [4 per cell]  12 As 3.25, 4 Se 3.39
Se  0.2500  0.2500  0.7500 [4 per cell]  12 As 3.24, 4 P 3.39

## Properties
Its density of states at the Fermi level is 1.05 states/eV/atom.


## As2PSe (PBE)

Data for a relaxed structure of As2PSe.

abc: 3.2797 4.4681 5.0776
angles: 90.00 90.00 90.00
Last column: nearest neighbours and their distance in Å.
Space group Pmmm (No. 47)
One atom of each set of equivalent atoms:
As  0.0000  0.0000  0.0000 [1 per cell]  4 Se 2.77, 4 As 3.02
As  0.5000  0.0000  0.5000 [1 per cell]  4 P 2.77, 4 As 3.02
P  0.0000  0.5000  0.5000 [1 per cell]  4 As 2.77, 4 Se 3.02
Se  0.5000  0.5000  0.0000 [1 per cell]  4 As 2.77, 4 P 3.02

## Properties
Its density of states at the Fermi level is 0.38 states/eV/atom. As for the energy relative to the lowest polymorph listed for this composition: 447 meV per atom.


## SiAsPSe2 (PBE)

Data for a relaxed structure of SiAsPSe2.

abc: 4.8931 4.8931 4.6531
angles: 90.00 90.00 90.00
Last column: nearest neighbours and their distance in Å.
Space group P4/mmm (No. 123)
One atom of each set of equivalent atoms:
Si  0.0000  0.0000  0.0000 [1 per cell]  8 Se 3.38, 4 As 3.46
As  0.5000  0.5000  0.0000 [1 per cell]  2 P 2.33
P  0.5000  0.5000  0.5000 [1 per cell]  2 As 2.33, 4 Se 2.45
Se  0.0000  0.5000  0.5000 [2 per cell]  2 P 2.45

## Properties
Its density of states at the Fermi level is 0.95 states/eV/atom. As for the energy relative to the lowest polymorph listed for this composition: 106 meV per atom.


## SiAsPSe2 (PBE)

Data for a relaxed structure of SiAsPSe2.

abc: 4.7779 4.7779 4.5601
angles: 90.00 90.00 90.00
Last column: nearest neighbours and their distance in Å.
Space group P4/mmm (No. 123)
One atom of each set of equivalent atoms:
Si  0.0000  0.0000  0.0000 [1 per cell]  2 P 2.28, 4 Se 2.39
As  0.5000  0.5000  0.5000 [1 per cell]  8 Se 3.30, 4 P 3.38
P  0.0000  0.0000  0.5000 [1 per cell]  2 Si 2.28
Se  0.0000  0.5000  0.0000 [2 per cell]  2 Si 2.39

## Properties
Its density of states at the Fermi level is 0.79 states/eV/atom. As for the energy relative to the lowest polymorph listed for this composition: 0 meV per atom.


Formation energy from raw total energies for every record listed, in sequence, given in meV per atom: 774, 572, 743, 637.
Final energy for every record listed, in sequence, given in eV per cell: -91.40, -15.91, -18.73, -19.26.